The following is a PBE calculation of a relaxed structure of Y2ScSe, from the Alexandria database.

Results
M_tot = 0.01 μB per cell
Calculated total energy = -0.4237 Ry/atom

a b c (Å): 7.389 7.389 7.389
angles (deg): 90.00 90.00 90.00
Sites, in units of the cell vectors:
Y (0.000, 0.000, 0.000)
Y (0.000, 0.500, 0.500)
Y (0.250, 0.250, 0.250)
Y (0.250, 0.750, 0.750)
Y (0.500, 0.000, 0.500)
Y (0.500, 0.500, 0.000)
Y (0.750, 0.250, 0.750)
Y (0.750, 0.750, 0.250)
Sc (0.250, 0.250, 0.750)
Sc (0.250, 0.750, 0.250)
Sc (0.750, 0.250, 0.250)
Sc (0.750, 0.750, 0.750)
Se (0.000, 0.000, 0.500)
Se (0.000, 0.500, 0.000)
Se (0.500, 0.000, 0.000)
Se (0.500, 0.500, 0.500)

=====

The following is a PBE calculation of a relaxed structure of YScSe4, from the Alexandria database.

Results
M_tot = 1.65 μB per cell
Calculated total energy = -0.3307 Ry/atom

a b c (Å): 5.810 5.810 5.810
angles (deg): 60.00 60.00 60.00
Sites, in units of the cell vectors:
Y (0.000, 0.000, 0.000)
Sc (0.750, 0.750, 0.750)
Se (0.375, 0.375, 0.375)
Se (0.375, 0.375, 0.874)
Se (0.375, 0.874, 0.375)
Se (0.874, 0.375, 0.375)

=====

The following is a PBE calculation of a relaxed structure of YScSe, from the Alexandria database.

Results
M_tot = 11.46 μB per cell
Energy above the most stable polymorph in this dataset = 3.71 eV per formula unit

a b c (Å): 7.050 7.050 7.050
angles (deg): 90.00 90.00 90.00
Sites, in units of the cell vectors:
Y (0.000, 0.000, 0.000)
Y (0.000, 0.500, 0.500)
Y (0.500, 0.000, 0.500)
Y (0.500, 0.500, 0.000)
Sc (0.250, 0.250, 0.750)
Sc (0.250, 0.750, 0.250)
Sc (0.750, 0.250, 0.250)
Sc (0.750, 0.750, 0.750)
Se (0.250, 0.250, 0.250)
Se (0.250, 0.750, 0.750)
Se (0.750, 0.250, 0.750)
Se (0.750, 0.750, 0.250)